# CsTlSnTe3 | Alexandria | PBE | optimized geometry
data_CsTlSnTe3
_chemical_formula_sum 'Cs4 Tl4 Sn4 Te12'
_space_group_name_H-M_alt 'C 1 2/m 1'
_space_group_IT_number 12
_space_group_name_Hall '-C 2y'
_cell_length_a 11.9672
_cell_length_b 9.3857
_cell_length_c 10.9116
_cell_angle_alpha 90.00
_cell_angle_beta 120.75
_cell_angle_gamma 90.00
loop_
_atom_site_label
_atom_site_type_symbol
_atom_site_fract_x
_atom_site_fract_y
_atom_site_fract_z
Cs1 Cs 0.1622 0.0000 0.2267
Tl1 Tl 0.0000 0.2222 0.5000
Sn1 Sn 0.0038 0.5000 0.1375
Te1 Te 0.1196 0.2556 0.8374
Te2 Te 0.2485 0.5000 0.3880
# Energy relative to the elements, uncorrected   -0.388 eV/atom
# Energy   -0.1162 hartree per atom